No. 1
Here is a relaxed structure of Sc2TeSe from Alexandria via LeMat-Bulk. Energies are from PBE.

**Energy relative to the lowest polymorph listed for this composition**: 1062 meV per atom
**E_form (uncorrected)**: -0.332 eV/atom
**Calculated volume**: 22.88 Å³/atom
**Raw total energy**: -20.6 eV for the cell shown

Structure (POSCAR):
```
Sc2TeSe
1.0
5.058 0.000 0.000
2.529 4.380 0.000
2.529 1.460 4.130
Sc Te Se
2 1 1
direct
0.000 0.000 0.000
0.250 0.250 0.250
0.750 0.750 0.750
0.500 0.500 0.500
```


No. 2
Here is a relaxed structure of Na2AlGa7 from Alexandria via LeMat-Bulk. Energies are from PBE.

**Calculated volume**: 20.43 Å³/atom
**Formation enthalpy at 0 K**: -0.13 eV per atom
**Raw total energy**: -28.9 eV for the cell shown

Structure (POSCAR):
```
Na2AlGa7
1.0
-0.722 -1.061 -4.056
-3.318 -2.372 1.211
-6.800 8.936 -1.126
Ga Na Al
7 2 1
direct
0.500 0.000 0.360
0.000 0.500 0.860
0.500 0.500 0.500
0.000 0.000 0.500
0.000 0.500 0.640
0.000 0.000 0.000
0.500 0.000 0.140
0.000 0.500 0.251
0.500 0.000 0.749
0.500 0.500 0.000
```


No. 3
Here is a relaxed structure of SnSb2Pd7 from Alexandria via LeMat-Bulk. Energies are from PBE.

**Energy relative to the lowest polymorph listed for this composition**: 0 meV per atom
**E_form (uncorrected)**: -0.438 eV/atom
**Calculated volume**: 18.40 Å³/atom
**Raw total energy**: -53.0 eV for the cell shown

Structure (POSCAR):
```
SnSb2Pd7
1.0
3.977 0.000 -0.765
-0.147 3.974 -0.765
0.166 0.172 11.579
Pd Sb Sn
7 2 1
direct
0.910 0.410 0.819
0.250 0.750 0.500
0.090 0.590 0.181
0.590 0.090 0.181
0.750 0.250 0.500
0.410 0.910 0.819
0.500 0.500 0.000
0.669 0.669 0.338
0.331 0.331 0.662
0.000 0.000 0.000
```


No. 4
Here is a relaxed structure of Na2SnPd3 from Alexandria via LeMat-Bulk. Energies are from PBE.

**Calculated volume**: 19.76 Å³/atom
**Formation enthalpy at 0 K**: -0.39 eV per atom
**Raw total energy**: -24.5 eV for the cell shown

Structure (POSCAR):
```
Na2SnPd3
1.0
-4.570 2.688 0.817
-1.757 0.179 5.065
0.459 4.729 2.489
Sn Pd Na
1 3 2
direct
0.000 0.000 0.000
0.000 0.000 0.500
0.500 0.000 0.000
0.000 0.500 0.000
0.621 0.621 0.621
0.379 0.379 0.379
```


No. 5
Here is a relaxed structure of Sm2Mg3Sn3 from Alexandria via LeMat-Bulk. Energies are from PBE.

**Calculated volume**: 25.12 Å³/atom
**Formation enthalpy at 0 K**: -0.48 eV per atom
**Raw total energy**: -30.1 eV for the cell shown

Structure (POSCAR):
```
Sm2Mg3Sn3
1.0
4.760 0.000 0.000
0.000 4.668 0.000
0.000 0.000 9.045
Sm Mg Sn
2 3 3
direct
0.000 0.000 0.743
0.000 0.000 0.257
0.500 0.500 0.755
0.500 0.000 0.000
0.500 0.500 0.245
0.500 0.000 0.500
0.000 0.500 0.000
0.000 0.500 0.500
```


No. 6
Here is a relaxed structure of SmInAg from Alexandria via LeMat-Bulk. Energies are from PBE.

**Calculated volume**: 29.55 Å³/atom
**Formation enthalpy at 0 K**: 0.34 eV per atom
**Raw total energy**: -9.3 eV for the cell shown

Structure (POSCAR):
```
SmInAg
1.0
3.380 0.000 0.000
0.000 3.380 0.000
-1.690 -1.690 7.758
Sm In Ag
1 1 1
direct
0.945 0.945 0.891
0.149 0.149 0.298
0.756 0.756 0.511
```


No. 7
Here is a relaxed structure of HfTi2Pd7 from Alexandria via LeMat-Bulk. Energies are from PBE.

**Calculated volume**: 19.57 Å³/atom
**Formation enthalpy at 0 K**: -0.10 eV per atom
**Raw total energy**: -63.0 eV for the cell shown

Structure (POSCAR):
```
HfTi2Pd7
1.0
4.112 0.000 0.000
0.000 7.507 -0.380
0.000 -3.726 6.528
Pd Ti Hf
7 2 1
direct
0.500 0.077 0.294
0.500 0.923 0.706
0.500 0.706 0.923
0.500 0.500 0.500
0.500 0.294 0.077
0.000 0.211 0.789
0.000 0.789 0.211
0.500 0.690 0.310
0.500 0.310 0.690
0.000 0.000 0.000
```


No. 8
Here is a relaxed structure of TbHg2Au from Alexandria via LeMat-Bulk. Energies are from PBE.

**Energy relative to the lowest polymorph listed for this composition**: 37 meV per atom
**Calculated volume**: 22.12 Å³/atom
**Formation enthalpy at 0 K**: -0.42 eV per atom
**Raw total energy**: -10.2 eV for the cell shown

Structure (POSCAR):
```
TbHg2Au
1.0
-2.088 2.181 -3.988
-4.842 -0.745 -1.009
-3.285 3.721 0.618
Au Tb Hg
1 1 2
direct
0.500 0.500 0.500
0.000 0.000 0.000
0.750 0.750 0.750
0.250 0.250 0.250
```


Number 1: total magnetic moment 0.479 μB/atom. Number 2: total magnetic moment 0.000 μB/atom. Number 3: total magnetic moment 0.000 μB/atom. Number 4: total magnetic moment 0.000 μB/atom. Number 5: total magnetic moment 0.000 μB/atom. Number 6: total magnetic moment 0.001 μB/atom. Number 7: total magnetic moment 0.000 μB/atom. Number 8: total magnetic moment 0.000 μB/atom.